No. 1
The following is a DFT calculation (PBE-GGA) of a geometry-optimized Ti5CuSe8 structure.

a = 7.5867 Å, b = 7.5867 Å, c = 7.5867 Å
α = 60.00°, β = 60.00°, γ = 60.00°
Last column: nearest neighbours and their distance in Å.
Fractional positions:
Se: 0.8670 0.8670 0.8670  4 Ti 2.47-2.73
Se: 0.3774 0.8678 0.3774  1 Cu 2.37, 3 Ti 2.54
Se: 0.3774 0.3774 0.3774  1 Cu 2.37, 3 Ti 2.54
Se: 0.8670 0.3990 0.8670  4 Ti 2.47-2.73
Se: 0.3774 0.3774 0.8678  1 Cu 2.37, 3 Ti 2.54
Se: 0.3990 0.8670 0.8670  4 Ti 2.47-2.73
Se: 0.8678 0.3774 0.3774  1 Cu 2.37, 3 Ti 2.54
Se: 0.8670 0.8670 0.3990  4 Ti 2.47-2.73
Cu: 0.2500 0.2500 0.2500  4 Se 2.37
Ti: 0.1590 0.6137 0.6137  6 Se 2.54-2.73
Ti: 0.6136 0.6137 0.6137  6 Se 2.54-2.73
Ti: 0.6136 0.6137 0.1590  6 Se 2.54-2.73
Ti: 0.0000 0.0000 0.0000  4 Se 2.47
Ti: 0.6136 0.1590 0.6137  6 Se 2.54-2.73

Calculated values
* D(E_F): 13.5 states/eV per cell
* formation energy without anion corrections: -0.958 eV/atom
* SG: F-43m
* density: 5.026 g/cm3

---

No. 2
The following is a DFT calculation (PBE-GGA) of a geometry-optimized YTmTl structure.

a = 5.3908 Å, b = 5.3908 Å, c = 6.6773 Å
α = 90.00°, β = 90.00°, γ = 120.02°
Last column: nearest neighbours and their distance in Å.
Fractional positions:
Tl: 0.3335 0.1665 0.2500  5 Y 3.11-3.34
Tl: 0.6665 0.8335 0.7500  5 Y 3.11-3.34
Y: 0.6668 0.8332 0.2500  5 Tl 3.11-3.34
Y: 0.3332 0.1668 0.7500  5 Tl 3.11-3.34
Tm: 0.0000 0.5000 0.5000  2 Tm 3.34, 6 Tl 3.53, 6 Y 3.53
Tm: 0.0000 0.5000 0.0000  2 Tm 3.34, 6 Tl 3.53, 6 Y 3.53

Calculated values
* D(E_F): 6.8 states/eV per cell
* calculated formation energy: -6.15 kcal/mol of atoms
* SG: P6_3/mmc
* density: 9.136 g/cm3

---

Q: What is the D(E_F) in the first record?
A: 13.5 states/eV per cell